Entry from Alexandria via LeMat-Bulk: a relaxed structure of HoTm2Pd (PBE). Values from VASP.

Quantum ESPRESSO input file:
```
&SYSTEM
  ibrav = 0, nat = 16, ntyp = 3
/
ATOMIC_SPECIES
Ho 164.93 Ho.upf
Tm 168.93 Tm.upf
Pd 106.42 Pd.upf
ATOMIC_POSITIONS crystal
Ho 0.020 0.250 0.128
Ho 0.480 0.750 0.628
Ho 0.520 0.250 0.372
Ho 0.980 0.750 0.872
Tm 0.181 0.059 0.678
Tm 0.181 0.441 0.678
Tm 0.319 0.559 0.178
Tm 0.319 0.941 0.178
Tm 0.681 0.059 0.822
Tm 0.681 0.441 0.822
Tm 0.819 0.559 0.322
Tm 0.819 0.941 0.322
Pd 0.108 0.750 0.444
Pd 0.392 0.250 0.944
Pd 0.608 0.750 0.056
Pd 0.892 0.250 0.556
CELL_PARAMETERS angstrom
6.943 0.000 0.000
0.000 9.533 0.000
0.000 0.000 6.413
```

**Space group**: Pnma (62)
**E_form**: -0.49 eV/atom
**V**: 424 Å³/cell
**Offset from the most stable computed form**: 0.00 kcal/mol of atoms
**Energy**: -5.172 eV/atom
**Density of states at the Fermi level**: 4.74 states/eV/f.u.

Entry from Alexandria via LeMat-Bulk: a relaxed structure of Ho2TmPd (PBE). Values from VASP.

Quantum ESPRESSO input file:
```
&SYSTEM
  ibrav = 0, nat = 16, ntyp = 3
/
ATOMIC_SPECIES
Ho 164.93 Ho.upf
Tm 168.93 Tm.upf
Pd 106.42 Pd.upf
ATOMIC_POSITIONS crystal
Ho 0.183 0.059 0.178
Ho 0.183 0.441 0.178
Ho 0.317 0.559 0.678
Ho 0.317 0.941 0.678
Ho 0.683 0.059 0.322
Ho 0.683 0.441 0.322
Ho 0.817 0.559 0.822
Ho 0.817 0.941 0.822
Tm 0.024 0.250 0.629
Tm 0.476 0.750 0.129
Tm 0.524 0.250 0.871
Tm 0.976 0.750 0.371
Pd 0.107 0.750 0.949
Pd 0.393 0.250 0.449
Pd 0.607 0.750 0.551
Pd 0.893 0.250 0.051
CELL_PARAMETERS angstrom
6.948 0.000 0.000
0.000 9.596 0.000
0.000 0.000 6.429
```

**Space group**: Pnma (62)
**E_form**: -0.48 eV/atom
**V**: 429 Å³/cell
**Offset from the most stable computed form**: 0.00 kcal/mol of atoms
**Energy**: -5.190 eV/atom
**Density of states at the Fermi level**: 4.47 states/eV/f.u.

Entry from Alexandria via LeMat-Bulk: a relaxed structure of Ho2Tm3Pd2 (PBE). Values from VASP.

Quantum ESPRESSO input file:
```
&SYSTEM
  ibrav = 0, nat = 7, ntyp = 3
/
ATOMIC_SPECIES
Ho 164.93 Ho.upf
Tm 168.93 Tm.upf
Pd 106.42 Pd.upf
ATOMIC_POSITIONS crystal
Ho 0.112 0.150 0.125
Ho 0.888 0.850 0.875
Tm 0.343 0.602 0.212
Tm 0.500 0.000 0.500
Tm 0.657 0.398 0.788
Pd 0.140 0.648 0.572
Pd 0.860 0.352 0.428
CELL_PARAMETERS angstrom
3.675 0.000 0.000
1.831 6.271 0.000
1.829 0.353 8.029
```

**Space group**: P-1 (2)
**E_form**: -0.41 eV/atom
**V**: 185 Å³/cell
**Offset from the most stable computed form**: 3.12 kcal/mol of atoms
**Energy**: -5.122 eV/atom
**Density of states at the Fermi level**: 8.12 states/eV/f.u.

Entry from Alexandria via LeMat-Bulk: a relaxed structure of Ho3TmPd3 (PBE). Values from VASP.

Quantum ESPRESSO input file:
```
&SYSTEM
  ibrav = 0, nat = 14, ntyp = 3
/
ATOMIC_SPECIES
Ho 164.93 Ho.upf
Tm 168.93 Tm.upf
Pd 106.42 Pd.upf
ATOMIC_POSITIONS crystal
Ho 0.176 0.824 0.000
Ho 0.252 0.748 0.500
Ho 0.348 0.348 0.135
Ho 0.652 0.652 0.865
Ho 0.748 0.252 0.500
Ho 0.824 0.176 0.000
Tm 0.261 0.261 0.624
Tm 0.739 0.739 0.376
Pd 0.016 0.501 0.780
Pd 0.062 0.062 0.309
Pd 0.499 0.984 0.220
Pd 0.501 0.016 0.780
Pd 0.938 0.938 0.691
Pd 0.984 0.499 0.220
CELL_PARAMETERS angstrom
4.564 -5.190 0.000
4.564 5.190 0.000
-0.278 0.000 7.056
```

**Space group**: C2/m (12)
**E_form**: -0.72 eV/atom
**V**: 334 Å³/cell
**Offset from the most stable computed form**: 0.18 kcal/mol of atoms
**Energy**: -5.543 eV/atom
**Density of states at the Fermi level**: 4.78 states/eV/f.u.

Entry from Alexandria via LeMat-Bulk: a relaxed structure of Ho2Tm2Pd3 (PBE). Values from VASP.

Quantum ESPRESSO input file:
```
&SYSTEM
  ibrav = 0, nat = 7, ntyp = 3
/
ATOMIC_SPECIES
Ho 164.93 Ho.upf
Tm 168.93 Tm.upf
Pd 106.42 Pd.upf
ATOMIC_POSITIONS crystal
Ho 0.140 0.272 0.360
Ho 0.860 0.728 0.640
Tm 0.375 0.747 0.105
Tm 0.625 0.253 0.895
Pd 0.000 0.000 0.000
Pd 0.235 0.476 0.745
Pd 0.765 0.524 0.255
CELL_PARAMETERS angstrom
4.146 0.000 0.000
-2.049 6.504 0.000
-0.018 -1.289 6.945
```

**Space group**: P-1 (2)
**E_form**: -0.64 eV/atom
**V**: 187 Å³/cell
**Offset from the most stable computed form**: 2.80 kcal/mol of atoms
**Energy**: -5.446 eV/atom
**Density of states at the Fermi level**: 5.33 states/eV/f.u.

Entry from Alexandria via LeMat-Bulk: a relaxed structure of Ho3Tm2Pd3 (PBE). Values from VASP.

Quantum ESPRESSO input file:
```
&SYSTEM
  ibrav = 0, nat = 8, ntyp = 3
/
ATOMIC_SPECIES
Ho 164.93 Ho.upf
Tm 168.93 Tm.upf
Pd 106.42 Pd.upf
ATOMIC_POSITIONS crystal
Ho 0.000 0.000 0.000
Ho 0.383 0.883 0.500
Ho 0.617 0.117 0.500
Tm 0.226 0.226 0.000
Tm 0.774 0.774 0.000
Pd 0.116 0.616 0.500
Pd 0.500 0.500 0.000
Pd 0.884 0.384 0.500
CELL_PARAMETERS angstrom
-1.758 2.563 10.439
1.758 -2.563 10.439
1.758 2.563 -10.439
```

**Space group**: Immm (71)
**E_form**: -0.66 eV/atom
**V**: 188 Å³/cell
**Energy**: -5.440 eV/atom
**Density of states at the Fermi level**: 6.93 states/eV/f.u.

Entry from Alexandria via LeMat-Bulk: a relaxed structure of HoTmPd2 (PBE). Values from VASP.

Quantum ESPRESSO input file:
```
&SYSTEM
  ibrav = 0, nat = 4, ntyp = 3
/
ATOMIC_SPECIES
Ho 164.93 Ho.upf
Tm 168.93 Tm.upf
Pd 106.42 Pd.upf
ATOMIC_POSITIONS crystal
Ho 0.000 0.000 0.000
Tm 0.500 0.500 0.500
Pd 0.250 0.250 0.250
Pd 0.750 0.750 0.750
CELL_PARAMETERS angstrom
0.000 3.482 3.482
3.482 0.000 3.482
3.482 3.482 0.000
```

**Space group**: Fm-3m (225)
**E_form**: -0.93 eV/atom
**V**: 84 Å³/cell
**Offset from the most stable computed form**: 0.37 kcal/mol of atoms
**Energy**: -5.785 eV/atom
**Density of states at the Fermi level**: 2.33 states/eV/f.u.

Entry from Alexandria via LeMat-Bulk: a relaxed structure of HoTmPd4 (PBE). Values from VASP.

Quantum ESPRESSO input file:
```
&SYSTEM
  ibrav = 0, nat = 6, ntyp = 3
/
ATOMIC_SPECIES
Ho 164.93 Ho.upf
Tm 168.93 Tm.upf
Pd 106.42 Pd.upf
ATOMIC_POSITIONS crystal
Ho 0.000 0.000 0.000
Tm 0.250 0.250 0.250
Pd 0.125 0.625 0.625
Pd 0.625 0.125 0.625
Pd 0.625 0.625 0.125
Pd 0.625 0.625 0.625
CELL_PARAMETERS angstrom
0.000 3.835 3.835
3.835 0.000 3.835
3.835 3.835 0.000
```

**Space group**: F-43m (216)
**E_form**: -0.82 eV/atom
**V**: 113 Å³/cell
**Offset from the most stable computed form**: 0.00 kcal/mol of atoms
**Energy**: -5.789 eV/atom
**Density of states at the Fermi level**: 3.63 states/eV/f.u.

Entry from Alexandria via LeMat-Bulk: a relaxed structure of Ho3TmPd4 (PBE). Values from VASP.

Quantum ESPRESSO input file:
```
&SYSTEM
  ibrav = 0, nat = 8, ntyp = 3
/
ATOMIC_SPECIES
Ho 164.93 Ho.upf
Tm 168.93 Tm.upf
Pd 106.42 Pd.upf
ATOMIC_POSITIONS crystal
Ho 0.000 0.000 0.000
Ho 0.297 0.797 0.500
Ho 0.703 0.203 0.500
Tm 0.500 0.500 0.000
Pd 0.079 0.372 0.707
Pd 0.335 0.628 0.707
Pd 0.665 0.372 0.293
Pd 0.921 0.628 0.293
CELL_PARAMETERS angstrom
-1.860 3.322 7.605
1.860 -3.322 7.605
1.860 3.322 -7.605
```

**Space group**: Immm (71)
**E_form**: -0.72 eV/atom
**V**: 188 Å³/cell
**Offset from the most stable computed form**: 4.53 kcal/mol of atoms
**Energy**: -5.592 eV/atom
**Density of states at the Fermi level**: 4.93 states/eV/f.u.

Entry from Alexandria via LeMat-Bulk: a relaxed structure of Ho2TmPd (PBE). Values from VASP.

Quantum ESPRESSO input file:
```
&SYSTEM
  ibrav = 0, nat = 8, ntyp = 3
/
ATOMIC_SPECIES
Ho 164.93 Ho.upf
Tm 168.93 Tm.upf
Pd 106.42 Pd.upf
ATOMIC_POSITIONS crystal
Ho 0.135 0.865 0.560
Ho 0.135 0.865 0.940
Ho 0.865 0.135 0.060
Ho 0.865 0.135 0.440
Tm 0.437 0.563 0.750
Tm 0.563 0.437 0.250
Pd 0.260 0.740 0.250
Pd 0.740 0.260 0.750
CELL_PARAMETERS angstrom
1.869 -6.071 0.000
1.869 6.071 0.000
0.000 0.000 9.292
```

**Space group**: Cmcm (63)
**E_form**: -0.46 eV/atom
**V**: 211 Å³/cell
**Offset from the most stable computed form**: 0.48 kcal/mol of atoms
**Energy**: -5.169 eV/atom
**Density of states at the Fermi level**: 4.60 states/eV/f.u.

Entry from Alexandria via LeMat-Bulk: a relaxed structure of HoTmPd4 (PBE). Values from VASP.

Quantum ESPRESSO input file:
```
&SYSTEM
  ibrav = 0, nat = 6, ntyp = 3
/
ATOMIC_SPECIES
Ho 164.93 Ho.upf
Tm 168.93 Tm.upf
Pd 106.42 Pd.upf
ATOMIC_POSITIONS crystal
Ho 0.000 0.000 0.000
Tm 0.000 0.000 0.500
Pd 0.333 0.333 0.170
Pd 0.334 0.334 0.664
Pd 0.666 0.666 0.336
Pd 0.667 0.667 0.830
CELL_PARAMETERS angstrom
4.847 -1.809 0.000
4.847 1.809 0.000
-2.466 0.000 6.464
```

**Space group**: C2/m (12)
**E_form**: -0.81 eV/atom
**V**: 113 Å³/cell
**Offset from the most stable computed form**: 0.18 kcal/mol of atoms
**Energy**: -5.781 eV/atom
**Density of states at the Fermi level**: 3.12 states/eV/f.u.

Entry from Alexandria via LeMat-Bulk: a relaxed structure of Ho2TmPd (PBE). Values from VASP.

Quantum ESPRESSO input file:
```
&SYSTEM
  ibrav = 0, nat = 4, ntyp = 3
/
ATOMIC_SPECIES
Ho 164.93 Ho.upf
Tm 168.93 Tm.upf
Pd 106.42 Pd.upf
ATOMIC_POSITIONS crystal
Ho 0.105 0.105 0.105
Ho 0.895 0.895 0.895
Tm 0.000 0.000 0.000
Pd 0.500 0.500 0.500
CELL_PARAMETERS angstrom
1.768 1.021 10.625
-1.768 1.021 10.625
0.000 -2.042 10.625
```

**Space group**: R-3m (166)
**E_form**: -0.09 eV/atom
**V**: 115 Å³/cell
**Offset from the most stable computed form**: 9.10 kcal/mol of atoms
**Energy**: -4.795 eV/atom
**Density of states at the Fermi level**: 4.80 states/eV/f.u.

Q: Among the records above, which one has the lowest V?
A: HoTmPd2

Q: density of states at the Fermi level of number 5 (Ho2Tm2Pd3)?
A: 5.33 states/eV/f.u.

Q: What is the formula in the fourth record?
A: Ho3TmPd3

Q: Which value of energy does entry 4 give?
A: -5.543 eV/atom